Entry 1:
BaLaIn2 after structural relaxation, computed with GGA-PBEsol.

Results
* ρ: 6.2 g/cm³

Geometry as extended XYZ:
```
4
Lattice="3.784 0.000 0.000 0.000 5.129 0.000 0.000 0.000 6.939" Properties=species:S:1:pos:R:3 pbc="T T T"
Ba 1.892 2.564 5.489
In 0.000 0.000 6.844
In 1.892 2.564 1.968
La 0.000 0.000 3.048
```

***

Entry 2:
BaLaIn2 after structural relaxation, computed with GGA-PBEsol.

Results
* ρ: 6.0 g/cm³

Geometry as extended XYZ:
```
4
Lattice="3.822 0.000 0.000 0.000 5.729 -0.014 0.000 -2.653 6.350" Properties=species:S:1:pos:R:3 pbc="T T T"
Ba 0.000 -1.327 3.175
In 0.000 0.000 0.000
In 1.911 1.538 3.168
La 1.911 2.864 -0.007
```

***

Entry 3:
BaLaIn2 after structural relaxation, computed with GGA-PBEsol.

Results
* ρ: 6.4 g/cm³

Geometry as extended XYZ:
```
4
Lattice="4.031 0.061 0.000 -0.060 4.031 0.000 0.000 0.000 8.080" Properties=species:S:1:pos:R:3 pbc="T T T"
La 1.986 2.046 0.000
Ba 1.986 2.046 4.040
In 0.000 0.000 6.321
In 0.000 0.000 1.758
```

***

Entry 4:
BaLaIn2 after structural relaxation, computed with GGA-PBEsol.

Results
* ρ: 6.8 g/cm³

Geometry as extended XYZ:
```
4
Lattice="-3.608 -2.914 1.399 3.233 -3.248 1.570 0.180 5.365 3.254" Properties=species:S:1:pos:R:3 pbc="T T T"
Ba 1.613 -0.482 3.155
In 0.000 0.000 0.000
In -1.808 -0.315 3.069
La -0.188 -3.081 1.485
```

***

Entry 5:
BaLaIn2 after structural relaxation, computed with GGA-PBEsol.

Results
* ρ: 6.5 g/cm³

Geometry as extended XYZ:
```
4
Lattice="3.674 0.000 0.000 0.000 4.648 0.000 0.000 0.000 7.590" Properties=species:S:1:pos:R:3 pbc="T T T"
La 1.837 2.324 0.000
Ba 1.837 2.324 3.795
In 0.000 0.000 5.986
In 0.000 0.000 1.603
```

***

Entry 6:
BaLaIn2 after structural relaxation, computed with GGA-PBEsol.

Results
* ρ: 6.8 g/cm³

Geometry as extended XYZ:
```
4
Lattice="-3.216 1.224 -1.833 1.062 -3.310 -4.074 -3.148 -4.283 2.659" Properties=species:S:1:pos:R:3 pbc="T T T"
La -2.558 -1.382 0.456
Ba -3.211 -4.646 -0.583
In -5.862 -3.074 0.969
In -3.216 -1.855 -2.852
```

***

Entry 7:
BaLi4In after structural relaxation, computed with GGA-PBEsol.

Results
* ρ: 3.3 g/cm³

Geometry as extended XYZ:
```
6
Lattice="5.835 0.000 0.000 2.917 5.053 0.000 2.917 1.684 4.764" Properties=species:S:1:pos:R:3 pbc="T T T"
In 0.000 0.000 0.000
Ba 8.752 5.053 3.573
Li 4.334 2.502 1.769
Li 5.835 3.369 4.220
Li 7.335 2.502 1.769
Li 5.835 5.101 1.769
```

***

Entry 8:
Ba3LiIn11 after structural relaxation, computed with GGA-PBEsol.

Results
* ρ: 6.5 g/cm³

Geometry as extended XYZ:
```
30
Lattice="9.902 0.000 0.000 0.000 10.038 0.000 0.000 -5.019 8.693" Properties=species:S:1:pos:R:3 pbc="T T T"
Ba 2.475 7.456 4.305
Ba 7.426 -2.437 4.388
Ba 2.475 5.019 0.083
Ba 7.426 0.000 8.610
Ba 2.475 2.582 4.305
Ba 7.426 2.437 4.388
Li 4.951 0.000 0.000
Li 0.000 0.000 0.000
In 4.623 2.449 7.210
In 5.278 2.570 1.484
In 4.623 0.000 2.967
In 9.574 2.570 1.484
In 5.278 5.019 5.726
In 0.328 2.449 7.210
In 4.623 -2.449 7.210
In 9.574 5.019 5.726
In 5.278 7.469 1.484
In 0.328 0.000 2.967
In 9.574 7.469 1.484
In 0.328 -2.449 7.210
In 2.475 1.539 0.888
In 7.426 3.480 7.805
In 2.475 5.019 6.917
In 7.426 0.000 1.777
In 2.475 8.499 0.888
In 7.426 -3.480 7.805
In 5.228 0.000 5.796
In 4.674 5.019 2.898
In 0.277 5.019 2.898
In 9.625 0.000 5.796
```

***

Entry 9:
Ba2LiIn2 after structural relaxation, computed with GGA-PBEsol.

Results
* ρ: 4.3 g/cm³

Geometry as extended XYZ:
```
5
Lattice="6.413 -0.008 -0.013 -2.796 5.771 0.013 -2.796 -2.261 5.310" Properties=species:S:1:pos:R:3 pbc="T T T"
Li 0.000 0.000 0.000
Ba 0.410 3.759 1.331
Ba 0.410 -0.257 3.979
In -3.692 2.317 3.514
In -1.901 1.193 1.809
```

***

Entry 10:
Ba2MgIn after structural relaxation, computed with GGA-PBEsol.

Results
* ρ: 4.8 g/cm³

Geometry as extended XYZ:
```
4
Lattice="-3.055 -3.787 2.021 -3.090 -2.862 -3.166 2.384 -6.185 -1.119" Properties=species:S:1:pos:R:3 pbc="T T T"
Mg -0.381 -3.710 -0.659
Ba -5.912 -6.858 -1.184
Ba -3.032 -9.436 -1.663
In -2.461 -5.897 -1.036
```

***

Entry 11:
Ba2MgIn after structural relaxation, computed with GGA-PBEsol.

Results
* ρ: 4.7 g/cm³

Geometry as extended XYZ:
```
4
Lattice="-0.162 0.315 -4.128 5.133 -2.933 -0.425 -5.480 -3.869 1.999" Properties=species:S:1:pos:R:3 pbc="T T T"
Mg -1.838 -2.885 -2.228
Ba -0.139 -0.237 -0.013
Ba 1.274 -3.706 -0.333
In -2.802 -4.838 -0.259
```

***

Entry 12:
BaMgIn after structural relaxation, computed with GGA-PBEsol.

Results
* ρ: 4.7 g/cm³

Geometry as extended XYZ:
```
3
Lattice="-1.667 3.571 -0.660 -4.659 -1.855 1.729 3.402 2.219 3.412" Properties=species:S:1:pos:R:3 pbc="T T T"
Mg -1.972 -0.497 2.290
Ba -0.834 1.786 -0.330
In 0.715 0.861 2.851
```

***

no.,E_tot (eV/atom),Fermi-level density of states (states/eV/cell)
1,-3.548,3.3
2,-3.538,4.7
3,-3.827,2.8
4,-3.664,4.8
5,-3.824,3.1
6,-3.798,2.9
7,-2.330,3.3
8,-3.128,9.2
9,-2.583,3.4
10,-2.463,4.1
11,-2.491,3.0
12,-2.577,1.7